<w>
{
  "formula": "Pr4ErTm6",
  "functional": "PBE",
  "state": "relaxed",
  "lattice": [[10.938, 0.000, 0.000], [-5.469, 9.472, 0.000], [0.000, 0.000, 3.532]],
  "species": ["Pr", "Pr", "Pr", "Pr", "Er", "Tm", "Tm", "Tm", "Tm", "Tm", "Tm"],
  "frac_coords": [[0.000, 0.000, 0.000], [0.528, 0.057, 0.500], [0.528, 0.472, 0.500], [0.943, 0.472, 0.500], [0.333, 0.667, 0.000], [0.165, 0.330, 0.500], [0.165, 0.835, 0.500], [0.326, 0.163, 0.000], [0.670, 0.835, 0.500], [0.837, 0.163, 0.000], [0.837, 0.674, 0.000]]
}

<x>
{
  "formula": "Pr4ErTm6",
  "functional": "PBE",
  "state": "relaxed",
  "lattice": [[-3.326, 3.326, 8.466], [3.326, -3.326, 8.466], [3.326, 3.326, -8.466]],
  "species": ["Pr", "Pr", "Pr", "Pr", "Er", "Tm", "Tm", "Tm", "Tm", "Tm", "Tm"],
  "frac_coords": [[0.134, 0.134, 0.620], [0.486, 0.866, 0.000], [0.514, 0.514, 0.380], [0.866, 0.486, 0.000], [0.500, 0.500, 0.000], [0.000, 0.500, 0.500], [0.055, 0.700, 0.000], [0.300, 0.300, 0.355], [0.500, 0.000, 0.500], [0.700, 0.055, 0.000], [0.945, 0.945, 0.645]]
}

Preferred: <w>; penalty for the next structure: 12.0 kJ/mol of atoms.